No. 1
K2MnHg after structural relaxation. Source: Alexandria via LeMat-Bulk, functional GGA-PBE.

The structure belongs to space group Cm (No. 8); the cell edges are 8.181, 4.724 and 9.267 Å and the angles 90.00°, 107.27° and 90.00°. The inequivalent atoms are K at (0.000, 0.000, 0.000), K at (0.186, 0.000, 0.552), Mn at (0.426, 0.000, 0.276) and Hg at (0.260, 0.500, 0.276).

Its crystal system is monoclinic. The calculation puts the formation energy at 0.289 eV per atom. The total magnetic moment is 1.037 μB/atom.


No. 2
Tb5Mg after structural relaxation. Source: Alexandria via LeMat-Bulk, functional GGA-PBE.

The structure belongs to space group Cmmm (No. 65); the cell edges are 4.943, 15.044 and 4.934 Å and the angles 90.00°, 90.00° and 90.00°. The inequivalent atoms are Tb at (0.000, 0.000, 0.000), Tb at (0.000, 0.165, 0.500), Tb at (0.000, 0.331, 0.000) and Mg at (0.000, 0.500, 0.500).

Its crystal system is orthorhombic. The calculation puts the formation energy at 0.010 eV per atom. The total magnetic moment is 0.000 μB/atom.


No. 3
KAgTeSe3 after structural relaxation. Source: Alexandria via LeMat-Bulk, functional GGA-PBE.

The structure belongs to space group P2_1/m (No. 11); the cell edges are 8.918, 4.243 and 9.650 Å and the angles 90.00°, 106.57° and 90.00°. The inequivalent atoms are K at (0.210, 0.250, 0.266), Ag at (0.075, 0.250, 0.593), Te at (0.326, 0.750, 0.854), Se at (0.124, 0.250, 0.889), Se at (0.246, 0.750, 0.548) and Se at (0.460, 0.750, 0.157).

Its crystal system is monoclinic. For the uncorrected formation energy, the calculation gives -366 meV per atom. The total magnetic moment is 0.000 μB/atom.


No. 4
Gd2ThZn after structural relaxation. Source: Alexandria via LeMat-Bulk, functional GGA-PBE.

The structure belongs to space group R-3m (No. 166, hexagonal axes); the cell edges are 3.5234, 3.5234 and 35.0804 Å and the angles 90.00°, 90.00° and 120.00°. The inequivalent atoms are Gd at (0.0000, 0.0000, 0.0871), Th at (0.0000, 0.0000, 0.5000) and Zn at (0.0000, 0.0000, 0.0000).

Its crystal system is trigonal. The calculation puts the formation energy at 0.244 eV per atom. The total magnetic moment is 3.703 μB/atom.


No. 5
Ac4PdPb2N2 after structural relaxation. Source: Alexandria via LeMat-Bulk, functional GGA-PBE.

The structure belongs to space group C2/m (No. 12); the cell edges are 16.632, 4.211 and 8.914 Å and the angles 90.00°, 109.76° and 90.00°. The inequivalent atoms are Ac at (0.038, 0.000, 0.291), Ac at (0.213, 0.500, 0.645), Pd at (0.000, 0.500, 0.500), Pb at (0.107, 0.500, 0.022) and N at (0.176, 0.000, 0.485).

Its crystal system is monoclinic. For the uncorrected formation energy, the calculation gives -780 meV per atom. The total magnetic moment is 0.000 μB/atom.


No. 6
Y2Mg3 after structural relaxation. Source: Alexandria via LeMat-Bulk, functional GGA-PBE.

The structure belongs to space group Fdd2 (No. 43); the cell edges are 10.628, 15.903 and 6.523 Å and the angles 90.00°, 90.00° and 90.00°. The inequivalent atoms are Y at (0.062, 0.198, 0.000), Mg at (0.000, 0.000, 0.146) and Mg at (0.062, 0.112, 0.510).

Its crystal system is orthorhombic. The calculation puts the formation energy at 0.001 eV per atom. The total magnetic moment is 0.000 μB/atom.


No. 7
Pm6Mg2Os after structural relaxation. Source: Alexandria via LeMat-Bulk, functional GGA-PBE.

The structure belongs to space group Cmmm (No. 65); the cell edges are 6.957, 15.611 and 5.071 Å and the angles 90.00°, 90.00° and 90.00°. The inequivalent atoms are Pm at (0.239, 0.000, 0.000), Pm at (0.250, 0.146, 0.500), Mg at (0.000, 0.253, 0.000) and Os at (0.000, 0.000, 0.500).

Its crystal system is orthorhombic. The calculation puts the formation energy at 0.045 eV per atom. The total magnetic moment is 0.000 μB/atom.


No. 8
AcPaTe after structural relaxation. Source: Alexandria via LeMat-Bulk, functional GGA-PBE.

The structure belongs to space group I4mm (No. 107); the cell edges are 3.870, 3.870 and 13.238 Å and the angles 90.00°, 90.00° and 90.00°. The inequivalent atoms are Ac at (0.000, 0.000, 0.000), Pa at (0.000, 0.000, 0.296) and Te at (0.000, 0.000, 0.674).

Its crystal system is tetragonal. For the uncorrected formation energy, the calculation gives -288 meV per atom. The total magnetic moment is 0.231 μB/atom.


No. 9
Hf2ScPtN after structural relaxation. Source: Alexandria via LeMat-Bulk, functional GGA-PBE.

The structure belongs to space group P4/mmm (No. 123); the cell edges are 4.380, 4.380 and 4.326 Å and the angles 90.00°, 90.00° and 90.00°. The inequivalent atoms are Hf at (0.000, 0.500, 0.000), Sc at (0.000, 0.000, 0.500), Pt at (0.500, 0.500, 0.500) and N at (0.000, 0.000, 0.000).

Its crystal system is tetragonal. For the uncorrected formation energy, the calculation gives -1204 meV per atom. The total magnetic moment is 0.000 μB/atom.


No. 10
CdGeB2 after structural relaxation. Source: Alexandria via LeMat-Bulk, functional GGA-PBE.

The structure belongs to space group Fm-3m (No. 225); the cell edges are 6.076, 6.076 and 6.076 Å and the angles 90.00°, 90.00° and 90.00°. The inequivalent atoms are Cd at (0.000, 0.000, 0.000), Ge at (0.000, 0.000, 0.500) and B at (0.250, 0.250, 0.250).

Its crystal system is cubic. The calculation puts the formation energy at 1.506 eV per atom. The total magnetic moment is 0.000 μB/atom.


No. 11
CaZn2Bi after structural relaxation. Source: Alexandria via LeMat-Bulk, functional GGA-PBE.

The structure belongs to space group P4/mmm (No. 123); the cell edges are 4.472, 4.472 and 4.719 Å and the angles 90.00°, 90.00° and 90.00°. The inequivalent atoms are Ca at (0.000, 0.000, 0.000), Zn at (0.000, 0.500, 0.500) and Bi at (0.500, 0.500, 0.000).

Its crystal system is tetragonal. The calculation puts the formation energy at -0.228 eV per atom. The total magnetic moment is 0.000 μB/atom.


No. 12
NaZrAl4 after structural relaxation. Source: Alexandria via LeMat-Bulk, functional GGA-PBE.

The structure belongs to space group F-43m (No. 216); the cell edges are 7.673, 7.673 and 7.673 Å and the angles 90.00°, 90.00° and 90.00°. The inequivalent atoms are Na at (0.000, 0.000, 0.000), Zr at (0.250, 0.250, 0.750) and Al at (0.124, 0.124, 0.376).

Its crystal system is cubic. The calculation puts the formation energy at -0.121 eV per atom. The total magnetic moment is 0.098 μB/atom.


What are the final energy values for these records? In order: -2.63, -4.11, -3.29, -8.97, -5.86, -3.54, -4.72, -5.87, -9.32, -3.22, -2.34, -4.26 eV/atom.
What are the density of states at the Fermi level values for these records? In order: 0.68, 1.18, 0.13, 1.19, 0.52, 1.47, 0.73, 2.20, 0.74, 0.50, 0.31, 0.77 states/eV per atom.